# 1
VASP calculation (GGA-PBEsol) on a geometry-optimized LiTa3B structure.

a b c (Å): 4.2120 4.2120 4.2120
angles (deg): 90.00 90.00 90.00
Space group Pm-3m (No. 221)
Inequivalent atoms, fractional coordinates:
Li 0.0000 0.0000 0.0000 (multiplicity 1)
Ta 0.0000 0.0000 0.5000 (multiplicity 3)
B 0.5000 0.5000 0.5000 (multiplicity 1)

Computed properties:
VASP energy ... -7.70 eV per atom
V ... 74.7 Å³ per cell
E_form ... 1.63 eV/atom


# 2
VASP calculation (GGA-PBEsol) on a geometry-optimized LiSi2As structure.

a b c (Å): 3.3776 3.7707 9.7019
angles (deg): 90.00 90.00 90.00
Space group Immm (No. 71)
Inequivalent atoms, fractional coordinates:
Li 0.0000 0.0000 0.0000 (multiplicity 2)
Si 0.0000 0.5000 0.2115 (multiplicity 4)
As 0.0000 0.0000 0.5000 (multiplicity 2)

Computed properties:
VASP energy ... -4.61 eV per atom
V ... 123.6 Å³ per cell


# 3
VASP calculation (GGA-PBEsol) on a geometry-optimized BaCdPb structure.

a b c (Å): 12.1147 5.2330 8.4620
angles (deg): 90.00 134.27 90.00
Space group C2/m (No. 12)
Inequivalent atoms, fractional coordinates:
Ba 0.0478 0.0000 0.2980 (multiplicity 4)
Cd 0.1558 0.5000 0.7138 (multiplicity 4)
Pb 0.1654 0.5000 0.0959 (multiplicity 4)

Computed properties:
VASP energy ... -2.92 eV per atom
V ... 384.1 Å³ per cell
E_form ... -0.47 eV/atom


Copy entry 3 word for word.
VASP calculation (GGA-PBEsol) on a geometry-optimized BaCdPb structure.

a b c (Å): 12.1147 5.2330 8.4620
angles (deg): 90.00 134.27 90.00
Space group C2/m (No. 12)
Inequivalent atoms, fractional coordinates:
Ba 0.0478 0.0000 0.2980 (multiplicity 4)
Cd 0.1558 0.5000 0.7138 (multiplicity 4)
Pb 0.1654 0.5000 0.0959 (multiplicity 4)

Computed properties:
VASP energy ... -2.92 eV per atom
V ... 384.1 Å³ per cell
E_form ... -0.47 eV/atom